Material: ZnCu2Bi
Method: DFT, PBE
State: relaxed

Lattice parameters (Å, degrees): 4.6394 4.6394 4.6394 60.00 60.00 60.00
Atoms (fractional coordinates):
Zn  0.0000  0.0000  0.0000
Cu  0.2500  0.2500  0.2500
Cu  0.5000  0.5000  0.5000
Bi  0.7500  0.7500  0.7500

Energy above the lowest structure with this stoichiometry: 183 meV per atom
Electronic total energy: -0.209 Ry/atom

=====

Material: ZnCu2Bi
Method: DFT, PBE
State: relaxed

Lattice parameters (Å, degrees): 6.5131 6.5131 6.5131 90.00 90.00 90.00
Atoms (fractional coordinates):
Zn  0.0000  0.0000  0.0000
Zn  0.0000  0.0000  0.5000
Zn  0.0000  0.5000  0.0000
Zn  0.5000  0.0000  0.0000
Cu  0.2137  0.2137  0.2137
Cu  0.2137  0.2137  0.7863
Cu  0.2137  0.7863  0.2137
Cu  0.2137  0.7863  0.7863
Cu  0.7863  0.2137  0.2137
Cu  0.7863  0.2137  0.7863
Cu  0.7863  0.7863  0.2137
Cu  0.7863  0.7863  0.7863
Bi  0.0000  0.5000  0.5000
Bi  0.5000  0.0000  0.5000
Bi  0.5000  0.5000  0.0000
Bi  0.5000  0.5000  0.5000

Energy above the lowest structure with this stoichiometry: 0 meV per atom
Electronic total energy: -0.222 Ry/atom

=====

Material: ZnCu2Bi
Method: DFT, PBE
State: relaxed

Lattice parameters (Å, degrees): 6.5131 6.5131 6.5131 90.00 90.00 90.00
Atoms (fractional coordinates):
Zn  0.0000  0.0000  0.0000
Zn  0.0000  0.0000  0.5000
Zn  0.0000  0.5000  0.0000
Zn  0.5000  0.0000  0.0000
Cu  0.2137  0.2137  0.2137
Cu  0.2137  0.2137  0.7863
Cu  0.2137  0.7863  0.2137
Cu  0.2137  0.7863  0.7863
Cu  0.7863  0.2137  0.2137
Cu  0.7863  0.2137  0.7863
Cu  0.7863  0.7863  0.2137
Cu  0.7863  0.7863  0.7863
Bi  0.0000  0.5000  0.5000
Bi  0.5000  0.0000  0.5000
Bi  0.5000  0.5000  0.0000
Bi  0.5000  0.5000  0.5000

Energy above the lowest structure with this stoichiometry: 0 meV per atom
Electronic total energy: -0.222 Ry/atom

=====

Material: ZnCu2Bi
Method: DFT, PBE
State: relaxed

Lattice parameters (Å, degrees): 4.6108 4.6108 4.6108 60.00 60.00 60.00
Atoms (fractional coordinates):
Zn  0.0000  0.0000  0.0000
Cu  0.2500  0.2500  0.2500
Cu  0.7500  0.7500  0.7500
Bi  0.5000  0.5000  0.5000

Energy above the lowest structure with this stoichiometry: 114 meV per atom
Electronic total energy: -0.214 Ry/atom

=====

Material: Zr5CuBi3
Method: DFT, PBE
State: relaxed

Lattice parameters (Å, degrees): 8.8090 8.8090 5.9373 90.00 90.00 120.00
Atoms (fractional coordinates):
Zr  0.0000  0.2603  0.2500
Zr  0.0000  0.7397  0.7500
Zr  0.2603  0.0000  0.2500
Zr  0.2603  0.2603  0.7500
Zr  0.3333  0.6667  0.0000
Zr  0.3333  0.6667  0.5000
Zr  0.6667  0.3333  0.0000
Zr  0.6667  0.3333  0.5000
Zr  0.7397  0.0000  0.7500
Zr  0.7397  0.7397  0.2500
Cu  0.0000  0.0000  0.0000
Cu  0.0000  0.0000  0.5000
Bi  0.0000  0.3856  0.7500
Bi  0.0000  0.6144  0.2500
Bi  0.3856  0.0000  0.7500
Bi  0.3856  0.3856  0.2500
Bi  0.6144  0.0000  0.2500
Bi  0.6144  0.6144  0.7500

Electronic total energy: -0.508 Ry/atom
M_tot: 0.00 μB/atom

=====

Material: Zr3CuBi5
Method: DFT, PBE
State: relaxed

Lattice parameters (Å, degrees): 5.9967 5.9967 8.9166 90.00 90.00 120.00
Atoms (fractional coordinates):
Zr  0.0000  0.5000  0.0000
Zr  0.5000  0.0000  0.0000
Zr  0.5000  0.5000  0.0000
Cu  0.0000  0.0000  0.5000
Bi  0.0000  0.0000  0.0000
Bi  0.3333  0.6667  0.3010
Bi  0.3333  0.6667  0.6990
Bi  0.6667  0.3333  0.3010
Bi  0.6667  0.3333  0.6990

Electronic total energy: -0.396 Ry/atom
M_tot: 0.00 μB/atom